Record 1
This record from Alexandria describes Cs3Na2I3Cl2 after structural relaxation. The functional is PBE.

Values from the calculation:
Fermi-level density of states (states/eV per cell): 0.0
Formation energy without anion corrections (eV per atom): -1.6132
Total energy (eV per atom): -2.97

a b c (Å): 5.444 5.444 30.593
angles (deg): 90.00 90.00 90.00
Space group I4/mmm (No. 139)
One atom of each set of equivalent atoms:
Cs  0.000  0.000  0.000
Cs  0.000  0.000  0.364
Na  0.000  0.000  0.227
I  0.000  0.000  0.125
I  0.000  0.000  0.500
Cl  0.000  0.500  0.250



Record 2
This record from Alexandria describes Cs2NaICl6 after structural relaxation. The functional is PBE.

Values from the calculation:
Fermi-level density of states (states/eV per cell): 0.0
Formation energy without anion corrections (eV per atom): -1.1262
Total energy (eV per atom): -2.69

a b c (Å): 8.106 8.106 10.681
angles (deg): 90.00 90.00 90.00
Space group I4/mmm (No. 139)
One atom of each set of equivalent atoms:
Cs  0.000  0.500  0.250
Na  0.000  0.000  0.000
I  0.000  0.000  0.500
Cl  0.000  0.000  0.267
Cl  0.240  0.240  0.000



Record 3
This record from Alexandria describes Cs3Na2I2Cl3 after structural relaxation. The functional is PBE.

Values from the calculation:
Fermi-level density of states (states/eV per cell): 0.0
Formation energy without anion corrections (eV per atom): -1.6152
Total energy (eV per atom): -3.00

a b c (Å): 5.726 5.726 28.156
angles (deg): 90.00 90.00 90.00
Space group I4/mmm (No. 139)
One atom of each set of equivalent atoms:
Cs  0.000  0.000  0.000
Cs  0.000  0.000  0.375
Na  0.000  0.000  0.210
I  0.000  0.500  0.250
Cl  0.000  0.000  0.117
Cl  0.000  0.000  0.500



Record 4
This record from Alexandria describes Cs2NaI2Cl6 after structural relaxation. The functional is PBE.

Values from the calculation:
Fermi-level density of states (states/eV per cell): 13.0
Formation energy without anion corrections (eV per atom): -1.0040
Total energy (eV per atom): -2.57

a b c (Å): 15.901 7.250 8.876
angles (deg): 90.00 122.79 90.00
Space group C2/m (No. 12)
One atom of each set of equivalent atoms:
Cs  0.216  0.000  0.170
Na  0.000  0.000  0.500
I  0.082  0.500  0.299
Cl  0.079  0.259  0.776
Cl  0.239  0.000  0.616



Record 5
This record from Alexandria describes Cs2NbI5Cl after structural relaxation. The functional is PBE.

Values from the calculation:
Fermi-level density of states (states/eV per cell): 10.5
Formation energy without anion corrections (eV per atom): -1.0754
Total energy (eV per atom): -3.45

a b c (Å): 8.494 8.494 11.290
angles (deg): 90.00 90.00 90.00
Space group I4mm (No. 107)
One atom of each set of equivalent atoms:
Cs  0.000  0.500  0.000
Nb  0.000  0.000  0.254
I  0.000  0.000  0.005
I  0.237  0.237  0.251
Cl  0.000  0.000  0.466



Record 6
This record from Alexandria describes CsNiI2Cl after structural relaxation. The functional is PBE.

Values from the calculation:
Fermi-level density of states (states/eV per cell): 2.9
Formation energy without anion corrections (eV per atom): -0.6923
Total energy (eV per atom): -3.01

a b c (Å): 5.507 5.507 4.945
angles (deg): 90.00 90.00 90.00
Space group P4/mmm (No. 123)
One atom of each set of equivalent atoms:
Cs  0.000  0.000  0.000
Ni  0.500  0.500  0.500
I  0.000  0.500  0.500
Cl  0.500  0.500  0.000



Repeat the fourth record exactly.
This record from Alexandria describes Cs2NaI2Cl6 after structural relaxation. The functional is PBE.

Values from the calculation:
Fermi-level density of states (states/eV per cell): 13.0
Formation energy without anion corrections (eV per atom): -1.0040
Total energy (eV per atom): -2.57

a b c (Å): 15.901 7.250 8.876
angles (deg): 90.00 122.79 90.00
Space group C2/m (No. 12)
One atom of each set of equivalent atoms:
Cs  0.216  0.000  0.170
Na  0.000  0.000  0.500
I  0.082  0.500  0.299
Cl  0.079  0.259  0.776
Cl  0.239  0.000  0.616



Which formula does entry 1 have?
Cs3Na2I3Cl2